Entry 1:
Entry from Alexandria: a PBEsol-optimized structure of HfTi2CoH (SCAN).

a b c (Å): 4.1299 4.1299 3.7285
angles (deg): 90.00 90.00 90.00
Positions (direct):
Hf 0.0000 0.0000 0.0000
Ti 0.0000 0.5000 0.5000
Ti 0.5000 0.0000 0.5000
Co 0.5000 0.5000 0.0000
H 0.5000 0.5000 0.5000

Summary:
space-group type = No. 123

Entry 2:
Entry from Alexandria: a PBEsol-optimized structure of NaMoBr2 (SCAN).

a b c (Å): 7.9769 7.9769 7.9769
angles (deg): 138.82 138.82 59.64
Positions (direct):
Na 0.0000 0.0000 0.0000
Na 0.7500 0.2500 0.5000
Mo 0.2500 0.7500 0.5000
Mo 0.5000 0.5000 0.0000
Br 0.1842 0.6250 0.0592
Br 0.3750 0.4342 0.5592
Br 0.5658 0.1250 0.9408
Br 0.8750 0.8158 0.4408

Summary:
space-group type = No. 122
formation energy without anion corrections = 0.154 eV/atom

Entry 3:
Entry from Alexandria: a PBEsol-optimized structure of NiIr2Rh (SCAN).

a b c (Å): 4.5788 4.5788 4.5449
angles (deg): 99.93 99.93 33.99
Positions (direct):
Ni 0.0000 0.0000 0.0000
Ir 0.4977 0.4977 0.4953
Ir 0.7478 0.7478 0.2503
Rh 0.2502 0.2502 0.7575

Summary:
ΔH_f (0 K) = -0.01 eV/atom
space-group type = No. 8

Entry 4:
Entry from Alexandria: a PBEsol-optimized structure of KPrP4O12 (SCAN).

a b c (Å): 7.4206 7.4206 10.6961
angles (deg): 100.77 100.77 115.24
Positions (direct):
K 0.1854 0.8146 0.7500
K 0.8146 0.1854 0.2500
Pr 0.1201 0.8799 0.2500
Pr 0.8799 0.1201 0.7500
P 0.2583 0.3061 0.5553
P 0.2859 0.6268 0.9997
P 0.3061 0.2583 0.0553
P 0.3732 0.7141 0.5003
P 0.6268 0.2859 0.4997
P 0.6939 0.7417 0.9447
P 0.7141 0.3732 0.0003
P 0.7417 0.6939 0.4447
O 0.0883 0.4911 0.8868
O 0.1398 0.1737 0.4134
O 0.1737 0.1398 0.9134
O 0.1856 0.2387 0.6673
O 0.1876 0.6953 0.4031
O 0.2387 0.1856 0.1673
O 0.2837 0.5361 0.5730
O 0.3047 0.8124 0.0969
O 0.3553 0.4990 0.0845
O 0.4639 0.7163 0.9270
O 0.4911 0.0883 0.3868
O 0.4990 0.3553 0.5845
O 0.5010 0.6447 0.4155
O 0.5089 0.9117 0.6132
O 0.5361 0.2837 0.0730
O 0.6447 0.5010 0.9155
O 0.6953 0.1876 0.9031
O 0.7163 0.4639 0.4270
O 0.7613 0.8144 0.8327
O 0.8124 0.3047 0.5969
O 0.8144 0.7613 0.3327
O 0.8263 0.8602 0.0866
O 0.8602 0.8263 0.5866
O 0.9117 0.5089 0.1132

Summary:
space-group type = No. 15
E above lowest polymorph = 0.0021 eV/atom
formation energy without anion corrections = -2.721 eV/atom

Entry 5:
Entry from Alexandria: a PBEsol-optimized structure of NaYP2 (SCAN).

a b c (Å): 6.0093 6.0093 6.0093
angles (deg): 103.38 103.38 122.50
Positions (direct):
Na 0.0000 0.0000 0.0000
Na 0.7500 0.2500 0.5000
Y 0.2500 0.7500 0.5000
Y 0.5000 0.5000 0.0000
P 0.1213 0.6250 0.9963
P 0.3750 0.3713 0.4963
P 0.6287 0.1250 0.0037
P 0.8750 0.8787 0.5037

Summary:
ΔH_f (0 K) = -0.59 eV/atom
space-group type = No. 122
E above lowest polymorph = 0.0497 eV/atom

Entry 6:
Entry from Alexandria: a PBEsol-optimized structure of K2TiAu2 (SCAN).

a b c (Å): 7.9851 7.9851 7.9851
angles (deg): 150.74 150.74 41.86
Positions (direct):
K 0.2500 0.7500 0.5000
K 0.7500 0.2500 0.5000
Ti 0.0000 0.0000 0.0000
Au 0.4132 0.4132 0.0000
Au 0.5868 0.5868 0.0000

Summary:
ΔH_f (0 K) = 0.31 eV/atom
space-group type = No. 139

Entry 7:
Entry from Alexandria: a PBEsol-optimized structure of Al2PtCl (SCAN).

a b c (Å): 2.9371 2.9371 7.9343
angles (deg): 90.00 90.00 90.00
Positions (direct):
Al 0.0000 0.0000 0.0000
Al 0.5000 0.5000 0.2501
Pt 0.5000 0.5000 0.8209
Cl 0.0000 0.0000 0.4575

Summary:
space-group type = No. 99
E above lowest polymorph = 0.0000 eV/atom
formation energy without anion corrections = -0.448 eV/atom

Entry 8:
Entry from Alexandria: a PBEsol-optimized structure of BeCoCu2 (SCAN).

a b c (Å): 2.4004 3.7323 4.7059
angles (deg): 90.00 104.28 90.00
Positions (direct):
Be 0.0000 0.0000 0.0000
Co 0.0000 0.0000 0.5000
Cu 0.4196 0.5000 0.2395
Cu 0.5804 0.5000 0.7605

Summary:
ΔH_f (0 K) = 0.01 eV/atom
space-group type = No. 10

Entry 9:
Entry from Alexandria: a PBEsol-optimized structure of CdAgRh2 (SCAN).

a b c (Å): 4.7910 4.7910 4.7910
angles (deg): 130.81 130.81 72.11
Positions (direct):
Cd 0.0000 0.0000 0.0000
Ag 0.2500 0.7500 0.5000
Rh 0.5000 0.5000 0.0000
Rh 0.7500 0.2500 0.5000

Summary:
ΔH_f (0 K) = 0.12 eV/atom
space-group type = No. 119

Entry 10:
Entry from Alexandria: a PBEsol-optimized structure of Ag2PtBr (SCAN).

a b c (Å): 10.2517 10.2517 10.2517
angles (deg): 16.00 16.00 16.00
Positions (direct):
Ag 0.0000 0.0000 0.0000
Ag 0.2571 0.2571 0.2571
Pt 0.5153 0.5153 0.5153
Br 0.7510 0.7510 0.7510

Summary:
space-group type = No. 160
E above lowest polymorph = 0.1414 eV/atom
formation energy without anion corrections = 0.337 eV/atom

Entry 11:
Entry from Alexandria: a PBEsol-optimized structure of AlTlPt (SCAN).

a b c (Å): 4.4441 4.4441 4.4441
angles (deg): 60.00 60.00 60.00
Positions (direct):
Al 0.0000 0.0000 0.0000
Tl 0.7500 0.7500 0.7500
Pt 0.5000 0.5000 0.5000

Summary:
ΔH_f (0 K) = 0.23 eV/atom
space-group type = No. 216
E above lowest polymorph = 0.5906 eV/atom

Entry 12:
Entry from Alexandria: a PBEsol-optimized structure of CaSbBr3 (SCAN).

a b c (Å): 5.6651 5.6651 5.6651
angles (deg): 90.00 90.00 90.00
Positions (direct):
Ca 0.0000 0.0000 0.0000
Sb 0.5000 0.5000 0.5000
Br 0.0000 0.5000 0.5000
Br 0.5000 0.0000 0.5000
Br 0.5000 0.5000 0.0000

Summary:
space-group type = No. 221
formation energy without anion corrections = -0.496 eV/atom

Number 1: volume 12.7 Å³ per atom, mass density 8.7 Mg/m³, VASP energy -115.7 eV for the cell shown. Number 2: volume 27.2 Å³ per atom, mass density 4.3 Mg/m³, VASP energy -154.8 eV for the cell shown. Number 3: volume 13.1 Å³ per atom, mass density 17.3 Mg/m³, VASP energy -192.2 eV for the cell shown. Number 4: volume 13.9 Å³ per atom, mass density 3.3 Mg/m³, VASP energy -434.0 eV for the cell shown. Number 5: volume 20.1 Å³ per atom, mass density 3.6 Mg/m³, VASP energy -110.4 eV for the cell shown. Number 6: volume 24.3 Å³ per atom, mass density 7.1 Mg/m³, VASP energy -169.4 eV for the cell shown. Number 7: volume 17.1 Å³ per atom, mass density 6.9 Mg/m³, VASP energy -95.5 eV for the cell shown. Number 8: volume 10.2 Å³ per atom, mass density 7.9 Mg/m³, VASP energy -52.0 eV for the cell shown. Number 9: volume 15.4 Å³ per atom, mass density 11.5 Mg/m³, VASP energy -128.9 eV for the cell shown. Number 10: volume 17.8 Å³ per atom, mass density 11.4 Mg/m³, VASP energy -151.0 eV for the cell shown. Number 11: volume 20.7 Å³ per atom, mass density 11.4 Mg/m³, VASP energy -149.6 eV for the cell shown. Number 12: volume 36.4 Å³ per atom, mass density 3.7 Mg/m³, VASP energy -107.8 eV for the cell shown.